Pm2PrY12: relaxed, PBE.

Unit cell a=6.7269 b=6.7269 c=24.9851 alpha=90.00 beta=90.00 gamma=116.45
Closest atoms and distances in Å follow each position.
Positions (direct):
Pm  0.2500  0.7500  0.2334  2 Pm 3.54, 10 Y 3.70-3.87
Pm  0.2500  0.7500  0.7709  2 Pm 3.54, 10 Y 3.65-3.96
Pm  0.7500  0.2500  0.2291  2 Pm 3.54, 10 Y 3.65-3.96
Pm  0.7500  0.2500  0.7666  2 Pm 3.54, 10 Y 3.70-3.87
Pr  0.2500  0.7500  0.5006  8 Y 3.47-3.69, 2 Pr 3.54
Pr  0.7500  0.2500  0.4994  8 Y 3.47-3.69, 2 Pr 3.54
Y  0.0007  0.5007  0.6290  8 Y 3.37-3.60, 2 Pr 3.66-3.69
Y  0.0012  0.9988  0.4212  2 Pr 3.47, 8 Y 3.51-3.60
Y  0.0102  0.5102  0.0845  8 Y 3.33-3.69
Y  0.0131  0.9869  0.9393  5 Y 3.05-3.33
Y  0.2500  0.2500  0.1721  5 Y 3.19-3.54
Y  0.2500  0.2500  0.2999  7 Y 3.19-3.54
Y  0.2500  0.2500  0.7001  7 Y 3.19-3.54
Y  0.2500  0.2500  0.8279  5 Y 3.19-3.54
Y  0.4869  0.5131  0.9393  5 Y 3.05-3.33
Y  0.4898  0.9898  0.0845  8 Y 3.33-3.69
Y  0.4988  0.5012  0.4212  2 Pr 3.47, 8 Y 3.51-3.60
Y  0.4993  0.9993  0.6290  8 Y 3.37-3.60, 2 Pr 3.66-3.69
Y  0.5007  0.0007  0.3710  8 Y 3.37-3.60, 2 Pr 3.66-3.69
Y  0.5012  0.4988  0.5788  2 Pr 3.47, 8 Y 3.51-3.60
Y  0.5102  0.0102  0.9155  8 Y 3.33-3.69
Y  0.5131  0.4869  0.0607  5 Y 3.05-3.33
Y  0.7500  0.7500  0.1721  5 Y 3.19-3.54
Y  0.7500  0.7500  0.2999  7 Y 3.19-3.54
Y  0.7500  0.7500  0.7001  7 Y 3.19-3.54
Y  0.7500  0.7500  0.8279  5 Y 3.19-3.54
Y  0.9869  0.0131  0.0607  5 Y 3.05-3.33
Y  0.9898  0.4898  0.9155  8 Y 3.33-3.69
Y  0.9988  0.0012  0.5788  2 Pr 3.47, 8 Y 3.51-3.60
Y  0.9993  0.4993  0.3710  8 Y 3.37-3.60, 2 Pr 3.66-3.69

Output
The calculation puts the total DFT energy (no corrections) at -5.96 eV per atom. As for the formation energy from the elements: 2.52 eV/f.u.